Density functional theory data (GGA-PBE) for CeUSn2 after structural relaxation. Values from VASP.

Calculated values
Energy relative to the lowest polymorph listed for this composition   8.0 kJ/mol of formula units
Density of states at the Fermi level   11.573 states/eV/f.u.

```
&SYSTEM
  ibrav = 0, nat = 4, ntyp = 3
/
ATOMIC_SPECIES
Ce 140.12 Ce.upf
U 238.03 U.upf
Sn 118.71 Sn.upf
CELL_PARAMETERS angstrom
3.3857 0.0000 0.0000
0.0000 3.3857 0.0000
0.0000 0.0000 9.1673
ATOMIC_POSITIONS crystal
Ce 0.0000 0.0000 0.0000
U 0.0000 0.0000 0.5000
Sn 0.5000 0.5000 0.2535
Sn 0.5000 0.5000 0.7465
```

=====

Density functional theory data (GGA-PBE) for CeUSn after structural relaxation. Values from VASP.

Calculated values
Density of states at the Fermi level   6.258 states/eV/f.u.

```
&SYSTEM
  ibrav = 0, nat = 6, ntyp = 3
/
ATOMIC_SPECIES
Ce 140.12 Ce.upf
U 238.03 U.upf
Sn 118.71 Sn.upf
CELL_PARAMETERS angstrom
-2.6471 3.1210 4.3499
2.6471 -3.1210 4.3499
2.6471 3.1210 -4.3499
ATOMIC_POSITIONS crystal
Ce 0.1679 0.1679 0.0000
Ce 0.8321 0.8321 0.0000
U 0.3582 0.8582 0.5000
U 0.6418 0.1418 0.5000
Sn 0.2457 0.5000 0.7457
Sn 0.7543 0.5000 0.2543
```

=====

Density functional theory data (GGA-PBE) for Ce3USn12 after structural relaxation. Values from VASP.

Calculated values
Density of states at the Fermi level   20.085 states/eV/f.u.

```
&SYSTEM
  ibrav = 0, nat = 16, ntyp = 3
/
ATOMIC_SPECIES
Ce 140.12 Ce.upf
U 238.03 U.upf
Sn 118.71 Sn.upf
CELL_PARAMETERS angstrom
4.7085 0.0000 0.0000
0.0000 4.7085 0.0000
0.0000 0.0000 18.6584
ATOMIC_POSITIONS crystal
Ce 0.0000 0.0000 0.0000
Ce 0.0000 0.0000 0.2526
Ce 0.0000 0.0000 0.7474
U 0.0000 0.0000 0.5000
Sn 0.0000 0.5000 0.1262
Sn 0.0000 0.5000 0.3780
Sn 0.0000 0.5000 0.6220
Sn 0.0000 0.5000 0.8738
Sn 0.5000 0.0000 0.1262
Sn 0.5000 0.0000 0.3780
Sn 0.5000 0.0000 0.6220
Sn 0.5000 0.0000 0.8738
Sn 0.5000 0.5000 0.0000
Sn 0.5000 0.5000 0.2517
Sn 0.5000 0.5000 0.5000
Sn 0.5000 0.5000 0.7483
```

=====

Density functional theory data (GGA-PBE) for CeUSn2 after structural relaxation. Values from VASP.

Calculated values
Energy relative to the lowest polymorph listed for this composition   0.0 kJ/mol of formula units
Density of states at the Fermi level   10.925 states/eV/f.u.

```
&SYSTEM
  ibrav = 0, nat = 4, ntyp = 3
/
ATOMIC_SPECIES
Ce 140.12 Ce.upf
U 238.03 U.upf
Sn 118.71 Sn.upf
CELL_PARAMETERS angstrom
5.8799 0.0000 0.0000
0.0000 5.8799 0.0000
0.0000 0.0000 3.0540
ATOMIC_POSITIONS crystal
Ce 0.0000 0.0000 0.0000
U 0.5000 0.5000 0.0000
Sn 0.0000 0.5000 0.5000
Sn 0.5000 0.0000 0.5000
```

=====

Density functional theory data (GGA-PBE) for Ce2USn9 after structural relaxation. Values from VASP.

Calculated values
Density of states at the Fermi level   16.497 states/eV/f.u.

```
&SYSTEM
  ibrav = 0, nat = 12, ntyp = 3
/
ATOMIC_SPECIES
Ce 140.12 Ce.upf
U 238.03 U.upf
Sn 118.71 Sn.upf
CELL_PARAMETERS angstrom
4.6857 0.0000 0.0000
0.0000 4.6857 0.0000
0.0000 0.0000 14.0759
ATOMIC_POSITIONS crystal
Ce 0.0000 0.0000 0.1695
Ce 0.0000 0.0000 0.8305
U 0.0000 0.0000 0.5000
Sn 0.0000 0.5000 0.0000
Sn 0.0000 0.5000 0.3370
Sn 0.0000 0.5000 0.6630
Sn 0.5000 0.0000 0.0000
Sn 0.5000 0.0000 0.3370
Sn 0.5000 0.0000 0.6630
Sn 0.5000 0.5000 0.1680
Sn 0.5000 0.5000 0.5000
Sn 0.5000 0.5000 0.8320
```

=====

Density functional theory data (GGA-PBE) for CeU2Sn9 after structural relaxation. Values from VASP.

Calculated values
Density of states at the Fermi level   20.167 states/eV/f.u.

```
&SYSTEM
  ibrav = 0, nat = 12, ntyp = 3
/
ATOMIC_SPECIES
Ce 140.12 Ce.upf
U 238.03 U.upf
Sn 118.71 Sn.upf
CELL_PARAMETERS angstrom
4.6645 0.0000 0.0000
0.0000 4.6645 0.0000
0.0000 0.0000 13.9639
ATOMIC_POSITIONS crystal
Ce 0.0000 0.0000 0.0000
U 0.0000 0.0000 0.3360
U 0.0000 0.0000 0.6640
Sn 0.0000 0.5000 0.1702
Sn 0.0000 0.5000 0.5000
Sn 0.0000 0.5000 0.8298
Sn 0.5000 0.0000 0.1702
Sn 0.5000 0.0000 0.5000
Sn 0.5000 0.0000 0.8298
Sn 0.5000 0.5000 0.0000
Sn 0.5000 0.5000 0.3344
Sn 0.5000 0.5000 0.6656
```

=====

Density functional theory data (GGA-PBE) for CeVSn after structural relaxation. Values from VASP.

Calculated values
Energy relative to the lowest polymorph listed for this composition   0.0 kJ/mol of formula units
Density of states at the Fermi level   4.171 states/eV/f.u.

```
&SYSTEM
  ibrav = 0, nat = 3, ntyp = 3
/
ATOMIC_SPECIES
Ce 140.12 Ce.upf
V 50.94 V.upf
Sn 118.71 Sn.upf
CELL_PARAMETERS angstrom
4.8135 0.0000 0.0000
-2.4068 4.1686 0.0000
0.0000 0.0000 3.6338
ATOMIC_POSITIONS crystal
Ce 0.0000 0.0000 0.0000
V 0.6667 0.3333 0.5000
Sn 0.3333 0.6667 0.5000
```

=====

Density functional theory data (GGA-PBE) for CeVSn after structural relaxation. Values from VASP.

Calculated values
Energy relative to the lowest polymorph listed for this composition   43.8 kJ/mol of formula units
Density of states at the Fermi level   3.884 states/eV/f.u.

```
&SYSTEM
  ibrav = 0, nat = 3, ntyp = 3
/
ATOMIC_SPECIES
Ce 140.12 Ce.upf
V 50.94 V.upf
Sn 118.71 Sn.upf
CELL_PARAMETERS angstrom
-1.9396 1.9396 4.7338
1.9396 -1.9396 4.7338
1.9396 1.9396 -4.7338
ATOMIC_POSITIONS crystal
Ce 0.0000 0.0000 0.0000
V 0.2396 0.2396 0.0000
Sn 0.6702 0.6702 0.0000
```

=====

Density functional theory data (GGA-PBE) for Ce2VSn after structural relaxation. Values from VASP.

Calculated values
Density of states at the Fermi level   8.645 states/eV/f.u.

```
&SYSTEM
  ibrav = 0, nat = 4, ntyp = 3
/
ATOMIC_SPECIES
Ce 140.12 Ce.upf
V 50.94 V.upf
Sn 118.71 Sn.upf
CELL_PARAMETERS angstrom
1.5950 0.9209 11.1717
-1.5950 0.9209 11.1717
0.0000 -1.8417 11.1717
ATOMIC_POSITIONS crystal
Ce 0.0973 0.0973 0.0973
Ce 0.9027 0.9027 0.9027
V 0.5000 0.5000 0.5000
Sn 0.0000 0.0000 0.0000
```

=====

Density functional theory data (GGA-PBE) for CeVSn2 after structural relaxation. Values from VASP.

Calculated values
Density of states at the Fermi level   6.965 states/eV/f.u.

```
&SYSTEM
  ibrav = 0, nat = 4, ntyp = 3
/
ATOMIC_SPECIES
Ce 140.12 Ce.upf
V 50.94 V.upf
Sn 118.71 Sn.upf
CELL_PARAMETERS angstrom
3.4180 0.0000 0.0000
0.0000 3.4180 0.0000
0.0000 0.0000 7.8329
ATOMIC_POSITIONS crystal
Ce 0.0000 0.0000 0.0000
V 0.0000 0.0000 0.5000
Sn 0.5000 0.5000 0.2900
Sn 0.5000 0.5000 0.7100
```

=====

Density functional theory data (GGA-PBE) for CeYSn2 after structural relaxation. Values from VASP.

Calculated values
Density of states at the Fermi level   8.642 states/eV/f.u.

```
&SYSTEM
  ibrav = 0, nat = 4, ntyp = 3
/
ATOMIC_SPECIES
Ce 140.12 Ce.upf
Y 88.91 Y.upf
Sn 118.71 Sn.upf
CELL_PARAMETERS angstrom
3.4816 0.0000 0.0000
0.0000 3.4816 0.0000
0.0000 0.0000 8.9472
ATOMIC_POSITIONS crystal
Ce 0.0000 0.0000 0.0000
Y 0.0000 0.0000 0.5000
Sn 0.5000 0.5000 0.2555
Sn 0.5000 0.5000 0.7445
```

=====

Density functional theory data (GGA-PBE) for Ce3YSn2 after structural relaxation. Values from VASP.

Calculated values
Density of states at the Fermi level   11.565 states/eV/f.u.

```
&SYSTEM
  ibrav = 0, nat = 12, ntyp = 3
/
ATOMIC_SPECIES
Ce 140.12 Ce.upf
Y 88.91 Y.upf
Sn 118.71 Sn.upf
CELL_PARAMETERS angstrom
9.1107 -2.1457 0.0000
9.1107 2.1457 0.0000
-3.1258 0.0000 8.6165
ATOMIC_POSITIONS crystal
Ce 0.0663 0.0663 0.1256
Ce 0.2947 0.2947 0.5753
Ce 0.3736 0.3736 0.0067
Ce 0.6264 0.6264 0.9933
Ce 0.7053 0.7053 0.4247
Ce 0.9337 0.9337 0.8744
Y 0.1044 0.1044 0.6322
Y 0.8956 0.8956 0.3678
Sn 0.2584 0.2584 0.2096
Sn 0.4788 0.4788 0.6539
Sn 0.5212 0.5212 0.3461
Sn 0.7416 0.7416 0.7904
```

=====

Number 1: energy of formation from the pure elements -0.261 eV per atom. Number 2: energy of formation from the pure elements -0.085 eV per atom. Number 3: energy of formation from the pure elements -0.444 eV per atom. Number 4: energy of formation from the pure elements -0.282 eV per atom. Number 5: energy of formation from the pure elements -0.408 eV per atom. Number 6: energy of formation from the pure elements -0.272 eV per atom. Number 7: energy of formation from the pure elements -0.102 eV per atom. Number 8: energy of formation from the pure elements 0.049 eV per atom. Number 9: energy of formation from the pure elements 0.332 eV per atom. Number 10: energy of formation from the pure elements -0.150 eV per atom. Number 11: energy of formation from the pure elements -0.616 eV per atom. Number 12: energy of formation from the pure elements -0.444 eV per atom.